6
Lattice="0.000 4.230 4.230 4.230 0.000 4.230 4.230 4.230 0.000" Properties=species:S:1:pos:R:3 comment="PBE ScTlHg4, relaxed" total_magnetization_mub_per_fu=0.0 ef_mev_per_atom=74 spacegroup="F-43m, No. 216" pbc="T T T"
Hg 3.176 3.176 3.176
Hg 5.284 3.176 5.284
Hg 3.176 5.284 5.284
Hg 5.284 5.284 3.176
Sc 6.345 6.345 6.345
Tl 0.000 0.000 0.000